# 1
Density functional theory data (PBE-GGA) for SrHo2Cu after structural relaxation.

Unit cell a=3.5619 b=3.5619 c=9.5069 alpha=90.00 beta=90.00 gamma=90.00
Positions (direct):
Sr 0.0000 0.0000 0.0000
Ho 0.5000 0.5000 0.3292
Ho 0.5000 0.5000 0.6708
Cu 0.0000 0.0000 0.5000

Properties
N(E_F) = 1.03 states/eV per atom
crystal system = tetragonal
total DFT energy (no corrections) = -3.73 eV/atom

=====

# 2
Density functional theory data (PBE-GGA) for SrHoCu2 after structural relaxation.

Unit cell a=5.0758 b=5.0758 c=5.0758 alpha=60.00 beta=60.00 gamma=60.00
Positions (direct):
Sr 0.0000 0.0000 0.0000
Ho 0.5000 0.5000 0.5000
Cu 0.2500 0.2500 0.2500
Cu 0.7500 0.7500 0.7500

Properties
N(E_F) = 0.82 states/eV per atom
crystal system = cubic
total DFT energy (no corrections) = -3.63 eV/atom

=====

# 3
Density functional theory data (PBE-GGA) for SrHo2Cu after structural relaxation.

Unit cell a=10.9678 b=10.9678 c=10.9678 alpha=19.81 beta=19.81 gamma=19.81
Positions (direct):
Sr 0.0000 0.0000 0.0000
Ho 0.1124 0.1124 0.1124
Ho 0.8876 0.8876 0.8876
Cu 0.5000 0.5000 0.5000

Properties
N(E_F) = 1.43 states/eV per atom
crystal system = trigonal
total DFT energy (no corrections) = -3.52 eV/atom

=====

# 4
Density functional theory data (PBE-GGA) for SrHoCu4 after structural relaxation.

Unit cell a=5.3683 b=5.3683 c=5.3683 alpha=60.00 beta=60.00 gamma=60.00
Positions (direct):
Sr 0.0000 0.0000 0.0000
Ho 0.2500 0.2500 0.2500
Cu 0.1280 0.6240 0.6240
Cu 0.6240 0.1280 0.6240
Cu 0.6240 0.6240 0.1280
Cu 0.6240 0.6240 0.6240

Properties
N(E_F) = 1.22 states/eV per atom
crystal system = cubic
total DFT energy (no corrections) = -3.78 eV/atom

=====

# 5
Density functional theory data (PBE-GGA) for SrHoCu2 after structural relaxation.

Unit cell a=5.1193 b=5.1193 c=3.5180 alpha=90.00 beta=90.00 gamma=90.00
Positions (direct):
Sr 0.0000 0.0000 0.0000
Ho 0.5000 0.5000 0.0000
Cu 0.0000 0.5000 0.5000
Cu 0.5000 0.0000 0.5000

Properties
N(E_F) = 0.67 states/eV per atom
crystal system = tetragonal
total DFT energy (no corrections) = -3.66 eV/atom

=====

# 6
Density functional theory data (PBE-GGA) for SrHo3Cu after structural relaxation.

Unit cell a=5.4789 b=5.4789 c=5.4789 alpha=90.00 beta=90.00 gamma=90.00
Positions (direct):
Sr 0.0000 0.0000 0.0000
Ho 0.0000 0.5000 0.5000
Ho 0.5000 0.0000 0.5000
Ho 0.5000 0.5000 0.0000
Cu 0.5000 0.5000 0.5000

Properties
N(E_F) = 1.87 states/eV per atom
crystal system = cubic
total DFT energy (no corrections) = -3.79 eV/atom